Entry 1:
This record from the Alexandria database describes crystalline Cu2OF at its relaxed geometry. The functional is PBE.

Output
The total energy comes out at -4.379 eV per atom. The theoretical density comes out at 5.58 g/cm³. The energy relative to the elements, uncorrected is -0.623 eV per atom. Its density of states at the Fermi level is 4.30 states/eV per cell.

```
data_Cu2OF
_symmetry_space_group_name_H-M 'P 1'
_symmetry_Int_Tables_number 1
_symmetry_space_group_name_Hall 'P 1'
_cell_length_a 6.396
_cell_length_b 6.396
_cell_length_c 6.396
_cell_angle_alpha 27.21
_cell_angle_beta 27.21
_cell_angle_gamma 27.21
loop_
_atom_site_label
_atom_site_type_symbol
_atom_site_fract_x
_atom_site_fract_y
_atom_site_fract_z
Cu1 Cu 0.103 0.103 0.103
Cu2 Cu 0.897 0.897 0.897
O1 O 0.500 0.500 0.500
F1 F 0.000 0.000 0.000
```


Entry 2:
This record from the Alexandria database describes crystalline SmDy2Tm6 at its relaxed geometry. The functional is PBE.

Output
The total energy comes out at -4.476 eV per atom. The theoretical density comes out at 8.75 g/cm³. As for the formation energy: 0.05 eV/atom. Its density of states at the Fermi level is 15.39 states/eV per cell.

```
data_SmDy2Tm6
_symmetry_space_group_name_H-M 'P 1'
_symmetry_Int_Tables_number 1
_symmetry_space_group_name_Hall 'P 1'
_cell_length_a 3.561
_cell_length_b 3.561
_cell_length_c 25.723
_cell_angle_alpha 90.00
_cell_angle_beta 90.00
_cell_angle_gamma 120.00
loop_
_atom_site_label
_atom_site_type_symbol
_atom_site_fract_x
_atom_site_fract_y
_atom_site_fract_z
Sm1 Sm 0.000 0.000 0.000
Dy1 Dy 0.333 0.667 0.328
Dy2 Dy 0.333 0.667 0.672
Tm1 Tm 0.000 0.000 0.218
Tm2 Tm 0.000 0.000 0.435
Tm3 Tm 0.000 0.000 0.565
Tm4 Tm 0.000 0.000 0.782
Tm5 Tm 0.333 0.667 0.112
Tm6 Tm 0.333 0.667 0.888
```


Listing total magnetization for the structures above in their given order: 0.83; 1.14 μB/f.u..